# PBE-GGA PaVAs3, optimized geometry
data_PaVAs3
_cell_length_a 11.885
_cell_length_b 5.781
_cell_length_c 5.655
_cell_angle_alpha 90.00
_cell_angle_beta 90.00
_cell_angle_gamma 90.00
_symmetry_space_group_name_H-M 'P b c m'
_symmetry_Int_Tables_number 57
_symmetry_space_group_name_Hall '-P 2c 2b'
loop_
_atom_site_label
_atom_site_type_symbol
_atom_site_fract_x
_atom_site_fract_y
_atom_site_fract_z
Pa1 Pa 0.189 0.005 0.250
V1 V 0.412 0.750 0.000
As1 As 0.002 0.750 0.000
As2 As 0.267 0.511 0.250
As3 As 0.427 0.107 0.250
# **Mass density**: 8.66 g cm⁻³
# **Final energy**: -7.18 eV/atom


# PBE-GGA Pa2AsW, optimized geometry
data_Pa2AsW
_cell_length_a 3.4128
_cell_length_b 3.4128
_cell_length_c 27.7900
_cell_angle_alpha 90.00
_cell_angle_beta 90.00
_cell_angle_gamma 120.00
_symmetry_space_group_name_H-M 'R -3 m'
_symmetry_Int_Tables_number 166
_symmetry_space_group_name_Hall '-R 3 2"'
loop_
_atom_site_label
_atom_site_type_symbol
_atom_site_fract_x
_atom_site_fract_y
_atom_site_fract_z
Pa1 Pa 0.0000 0.0000 0.0916
As1 As 0.0000 0.0000 0.5000
W1 W 0.0000 0.0000 0.0000
# **Mass density**: 12.81 g cm⁻³
# **Final energy**: -8.73 eV/atom
# **Polymorph energy (0 for the lowest one)**: 0.644 eV per atom


# PBE-GGA Pa2AsW, optimized geometry
data_Pa2AsW
_cell_length_a 4.467
_cell_length_b 4.467
_cell_length_c 4.134
_cell_angle_alpha 90.00
_cell_angle_beta 90.00
_cell_angle_gamma 90.00
_symmetry_space_group_name_H-M 'P 4/m m m'
_symmetry_Int_Tables_number 123
_symmetry_space_group_name_Hall '-P 4 2'
loop_
_atom_site_label
_atom_site_type_symbol
_atom_site_fract_x
_atom_site_fract_y
_atom_site_fract_z
Pa1 Pa 0.000 0.500 0.000
As1 As 0.000 0.000 0.500
W1 W 0.500 0.500 0.500
# **Mass density**: 14.51 g cm⁻³
# **Final energy**: -9.28 eV/atom
# **Polymorph energy (0 for the lowest one)**: 0.101 eV per atom


# PBE-GGA PaAs2W, optimized geometry
data_PaAs2W
_cell_length_a 3.1221
_cell_length_b 3.1221
_cell_length_c 29.1035
_cell_angle_alpha 90.00
_cell_angle_beta 90.00
_cell_angle_gamma 120.00
_symmetry_space_group_name_H-M 'R -3 m'
_symmetry_Int_Tables_number 166
_symmetry_space_group_name_Hall '-R 3 2"'
loop_
_atom_site_label
_atom_site_type_symbol
_atom_site_fract_x
_atom_site_fract_y
_atom_site_fract_z
Pa1 Pa 0.0000 0.0000 0.0000
As1 As 0.0000 0.0000 0.1024
W1 W 0.0000 0.0000 0.5000
# **Mass density**: 11.45 g cm⁻³
# **Final energy**: -7.88 eV/atom


# PBE-GGA Pa2AsW, optimized geometry
data_Pa2AsW
_cell_length_a 3.698
_cell_length_b 3.698
_cell_length_c 6.220
_cell_angle_alpha 90.00
_cell_angle_beta 90.00
_cell_angle_gamma 90.00
_symmetry_space_group_name_H-M 'P 4/m m m'
_symmetry_Int_Tables_number 123
_symmetry_space_group_name_Hall '-P 4 2'
loop_
_atom_site_label
_atom_site_type_symbol
_atom_site_fract_x
_atom_site_fract_y
_atom_site_fract_z
Pa1 Pa 0.000 0.000 0.239
As1 As 0.500 0.500 0.000
W1 W 0.500 0.500 0.500
# **Mass density**: 14.08 g cm⁻³
# **Final energy**: -9.38 eV/atom
# **Polymorph energy (0 for the lowest one)**: 0.000 eV per atom


# PBE-GGA YPa5As6, optimized geometry
data_YPa5As6
_cell_length_a 7.095
_cell_length_b 12.293
_cell_length_c 7.092
_cell_angle_alpha 90.00
_cell_angle_beta 109.49
_cell_angle_gamma 90.00
_symmetry_space_group_name_H-M 'C 1 2/m 1'
_symmetry_Int_Tables_number 12
_symmetry_space_group_name_Hall '-C 2y'
loop_
_atom_site_label
_atom_site_type_symbol
_atom_site_fract_x
_atom_site_fract_y
_atom_site_fract_z
Y1 Y 0.000 0.000 0.000
Pa1 Pa 0.000 0.166 0.500
Pa2 Pa 0.000 0.333 0.000
Pa3 Pa 0.000 0.500 0.500
As1 As 0.250 0.000 0.751
As2 As 0.250 0.167 0.250
# **Mass density**: 9.65 g cm⁻³
# **Final energy**: -7.95 eV/atom


# PBE-GGA Y3Pa5As8, optimized geometry
data_Y3Pa5As8
_cell_length_a 8.1973
_cell_length_b 8.1973
_cell_length_c 20.1013
_cell_angle_alpha 90.00
_cell_angle_beta 90.00
_cell_angle_gamma 120.00
_symmetry_space_group_name_H-M 'R -3 m'
_symmetry_Int_Tables_number 166
_symmetry_space_group_name_Hall '-R 3 2"'
loop_
_atom_site_label
_atom_site_type_symbol
_atom_site_fract_x
_atom_site_fract_y
_atom_site_fract_z
Y1 Y 0.0000 0.5000 0.0000
Pa1 Pa 0.0000 0.0000 0.0000
Pa2 Pa 0.0000 0.0000 0.5000
Pa3 Pa 0.0000 0.5000 0.5000
As1 As 0.0000 0.0000 0.2489
As2 As 0.0000 0.5000 0.2500
# **Mass density**: 8.61 g cm⁻³
# **Final energy**: -7.73 eV/atom


# PBE-GGA YPa4As6, optimized geometry
data_YPa4As6
_cell_length_a 11.3068
_cell_length_b 11.3068
_cell_length_c 13.9914
_cell_angle_alpha 90.00
_cell_angle_beta 90.00
_cell_angle_gamma 120.00
_symmetry_space_group_name_H-M 'R -3 c'
_symmetry_Int_Tables_number 167
_symmetry_space_group_name_Hall '-R 3 2"c'
loop_
_atom_site_label
_atom_site_type_symbol
_atom_site_fract_x
_atom_site_fract_y
_atom_site_fract_z
Y1 Y 0.0000 0.0000 0.0000
Pa1 Pa 0.0000 0.0000 0.2500
Pa2 Pa 0.0000 0.3882 0.2500
As1 As 0.0319 0.2116 0.3838
# **Mass density**: 9.41 g cm⁻³
# **Final energy**: -7.48 eV/atom


# PBE-GGA YPaAs, optimized geometry
data_YPaAs
_cell_length_a 3.462
_cell_length_b 23.975
_cell_length_c 3.563
_cell_angle_alpha 90.00
_cell_angle_beta 90.00
_cell_angle_gamma 90.00
_symmetry_space_group_name_H-M 'C m c m'
_symmetry_Int_Tables_number 63
_symmetry_space_group_name_Hall '-C 2c 2'
loop_
_atom_site_label
_atom_site_type_symbol
_atom_site_fract_x
_atom_site_fract_y
_atom_site_fract_z
Y1 Y 0.000 0.192 0.250
Pa1 Pa 0.000 0.047 0.250
As1 As 0.000 0.382 0.250
# **Mass density**: 8.87 g cm⁻³
# **Final energy**: -7.31 eV/atom
# **Polymorph energy (0 for the lowest one)**: 0.000 eV per atom


# PBE-GGA YPa4As5, optimized geometry
data_YPa4As5
_cell_length_a 9.160
_cell_length_b 9.160
_cell_length_c 5.792
_cell_angle_alpha 90.00
_cell_angle_beta 90.00
_cell_angle_gamma 90.00
_symmetry_space_group_name_H-M 'I 4/m'
_symmetry_Int_Tables_number 87
_symmetry_space_group_name_Hall '-I 4'
loop_
_atom_site_label
_atom_site_type_symbol
_atom_site_fract_x
_atom_site_fract_y
_atom_site_fract_z
Y1 Y 0.000 0.000 0.000
Pa1 Pa 0.101 0.300 0.500
As1 As 0.000 0.000 0.500
As2 As 0.100 0.300 0.000
# **Mass density**: 9.48 g cm⁻³
# **Final energy**: -7.92 eV/atom


# PBE-GGA YPaAs, optimized geometry
data_YPaAs
_cell_length_a 4.9145
_cell_length_b 4.9145
_cell_length_c 3.6820
_cell_angle_alpha 90.00
_cell_angle_beta 90.00
_cell_angle_gamma 120.00
_symmetry_space_group_name_H-M 'P 3 m 1'
_symmetry_Int_Tables_number 156
_symmetry_space_group_name_Hall 'P 3 -2"'
loop_
_atom_site_label
_atom_site_type_symbol
_atom_site_fract_x
_atom_site_fract_y
_atom_site_fract_z
Y1 Y 0.0000 0.0000 0.0000
Pa1 Pa 0.3333 0.6667 0.4898
As1 As 0.6667 0.3333 0.2172
# **Mass density**: 8.51 g cm⁻³
# **Final energy**: -7.02 eV/atom
# **Polymorph energy (0 for the lowest one)**: 0.295 eV per atom


# PBE-GGA YPaAs2, optimized geometry
data_YPaAs2
_cell_length_a 4.1032
_cell_length_b 4.1032
_cell_length_c 13.4236
_cell_angle_alpha 90.00
_cell_angle_beta 90.00
_cell_angle_gamma 120.00
_symmetry_space_group_name_H-M 'P 63/m m c'
_symmetry_Int_Tables_number 194
_symmetry_space_group_name_Hall '-P 6c 2c'
loop_
_atom_site_label
_atom_site_type_symbol
_atom_site_fract_x
_atom_site_fract_y
_atom_site_fract_z
Y1 Y 0.3333 0.6667 0.2500
Pa1 Pa 0.0000 0.0000 0.0000
As1 As 0.3333 0.6667 0.6217
# **Mass density**: 7.97 g cm⁻³
# **Final energy**: -7.57 eV/atom
# **Polymorph energy (0 for the lowest one)**: 0.000 eV per atom


# PBE-GGA YPaAs2, optimized geometry
data_YPaAs2
_cell_length_a 4.0541
_cell_length_b 4.0541
_cell_length_c 21.0323
_cell_angle_alpha 90.00
_cell_angle_beta 90.00
_cell_angle_gamma 120.00
_symmetry_space_group_name_H-M 'R 3 m'
_symmetry_Int_Tables_number 160
_symmetry_space_group_name_Hall 'R 3 -2"'
loop_
_atom_site_label
_atom_site_type_symbol
_atom_site_fract_x
_atom_site_fract_y
_atom_site_fract_z
Y1 Y 0.0000 0.0000 0.0000
Pa1 Pa 0.0000 0.0000 0.8235
As1 As 0.0000 0.0000 0.2417
As2 As 0.0000 0.0000 0.4127
# **Mass density**: 7.82 g cm⁻³
# **Final energy**: -7.47 eV/atom
# **Polymorph energy (0 for the lowest one)**: 0.108 eV per atom